(1)
The following is a DFT calculation (PBE) of crystalline CrOsBr2 at its relaxed geometry.

relative energy among the computed polymorphs = 396 meV/atom
formation energy from raw total energies = 613 meV/atom

Cell: 4.881 4.881 7.269 Å, 71.10 71.10 39.05°
Positions (direct):
Cr 0.532 0.532 0.375
Br 0.813 0.813 0.630
Br 0.951 0.951 0.120
Os 0.204 0.204 0.375


(2)
The following is a DFT calculation (PBE) of crystalline Cr2OsBr at its relaxed geometry.

relative energy among the computed polymorphs = 298 meV/atom
formation energy from raw total energies = 857 meV/atom

Cell: 2.845 4.427 4.427 Å, 90.00 90.00 90.00°
Positions (direct):
Cr 0.000 0.500 0.500
Cr 0.000 0.000 0.000
Br 0.500 0.000 0.500
Os 0.500 0.500 0.000